# 1
A plane-wave DFT calculation with GGA-PBE was carried out for a relaxed DyLuCo2 crystal.

The structure belongs to space group Fm-3m (No. 225); the cell edges are 6.5939, 6.5939 and 6.5939 Å and the angles 90.00°, 90.00° and 90.00°. Symmetry generates all atoms from Dy at (0.0000, 0.0000, 0.0000), Lu at (0.0000, 0.0000, 0.5000) and Co at (0.2500, 0.2500, 0.2500).

For the formation energy, the calculation gives -200 meV/atom.

---

# 2
A plane-wave DFT calculation with GGA-PBE was carried out for a relaxed Na2Tl5Au4 crystal.

The structure belongs to space group C2/m (No. 12); the cell edges are 11.2374, 6.9098 and 8.1902 Å and the angles 90.00°, 115.87° and 90.00°. Symmetry generates all atoms from Na at (0.0826, 0.0000, 0.2626), Tl at (0.0000, 0.5000, 0.0000), Tl at (0.1497, 0.2474, 0.6820), Au at (0.1430, 0.5000, 0.3850) and Au at (0.2095, 0.0000, 0.0047).

For the formation energy, the calculation gives -92 meV/atom.

---

# 3
A plane-wave DFT calculation with GGA-PBE was carried out for a relaxed Pm6TmS8 crystal.

The structure belongs to space group Fm-3m (No. 225); the cell edges are 11.3592, 11.3592 and 11.3592 Å and the angles 90.00°, 90.00° and 90.00°. Symmetry generates all atoms from Pm at (0.0000, 0.2500, 0.2500), Tm at (0.0000, 0.0000, 0.0000), S at (0.0000, 0.0000, 0.2415) and S at (0.2500, 0.2500, 0.2500).

The final energy is -6.461 eV/atom.

---

# 4
A plane-wave DFT calculation with GGA-PBE was carried out for a relaxed Ba3OsRh crystal.

The structure belongs to space group Pm-3m (No. 221); the cell edges are 5.7982, 5.7982 and 5.7982 Å and the angles 90.00°, 90.00° and 90.00°. Symmetry generates all atoms from Ba at (0.0000, 0.0000, 0.5000), Os at (0.0000, 0.0000, 0.0000) and Rh at (0.5000, 0.5000, 0.5000).

For the formation energy, the calculation gives 765 meV/atom.

---

# 5
A plane-wave DFT calculation with GGA-PBE was carried out for a relaxed RhAuSeF2 crystal.

The structure belongs to space group P4/mmm (No. 123); the cell edges are 3.9254, 3.9254 and 5.7030 Å and the angles 90.00°, 90.00° and 90.00°. Symmetry generates all atoms from Rh at (0.0000, 0.0000, 0.0000), Au at (0.0000, 0.0000, 0.5000), Se at (0.5000, 0.5000, 0.5000) and F at (0.0000, 0.5000, 0.0000).

The final energy is -4.038 eV/atom.

---

# 6
A plane-wave DFT calculation with GGA-PBE was carried out for a relaxed CsGaPO2 crystal.

The structure belongs to space group P4/mmm (No. 123); the cell edges are 4.2243, 4.2243 and 7.0596 Å and the angles 90.00°, 90.00° and 90.00°. Symmetry generates all atoms from Cs at (0.0000, 0.0000, 0.0000), Ga at (0.5000, 0.5000, 0.5000), P at (0.0000, 0.0000, 0.5000) and O at (0.0000, 0.5000, 0.0000).

The final energy is -2.997 eV/atom.

---

# 7
A plane-wave DFT calculation with GGA-PBE was carried out for a relaxed AcZrN2 crystal.

The structure belongs to space group R-3m (No. 166, hexagonal axes); the cell edges are 3.4959, 3.4959 and 20.7696 Å and the angles 90.00°, 90.00° and 120.00°. Symmetry generates all atoms from Ac at (0.0000, 0.0000, 0.0000), Zr at (0.0000, 0.0000, 0.5000) and N at (0.0000, 0.0000, 0.1149).

The final energy is -8.114 eV/atom.

---

# 8
A plane-wave DFT calculation with GGA-PBE was carried out for a relaxed Pm2EuAs crystal.

The structure belongs to space group P4/mmm (No. 123); the cell edges are 4.8297, 4.8297 and 4.6725 Å and the angles 90.00°, 90.00° and 90.00°. Symmetry generates all atoms from Pm at (0.0000, 0.5000, 0.0000), Eu at (0.0000, 0.0000, 0.5000) and As at (0.5000, 0.5000, 0.5000).

For the formation energy, the calculation gives -443 meV/atom.

---

# 9
A plane-wave DFT calculation with GGA-PBE was carried out for a relaxed HfTi2AsH crystal.

The structure belongs to space group P4/mmm (No. 123); the cell edges are 4.0026, 4.0026 and 4.3636 Å and the angles 90.00°, 90.00° and 90.00°. Symmetry generates all atoms from Hf at (0.0000, 0.0000, 0.0000), Ti at (0.0000, 0.5000, 0.5000), As at (0.5000, 0.5000, 0.0000) and H at (0.0000, 0.0000, 0.5000).

The final energy is -7.204 eV/atom.

---

# 10
A plane-wave DFT calculation with GGA-PBE was carried out for a relaxed Tb2In3Ag5 crystal.

The structure belongs to space group Ibam (No. 72); the cell edges are 11.8543, 12.9256 and 6.0157 Å and the angles 90.00°, 90.00° and 90.00°. Symmetry generates all atoms from Tb at (0.1235, 0.2467, 0.0000), In at (0.0000, 0.0000, 0.2500), In at (0.1282, 0.3586, 0.5000), Ag at (0.0000, 0.5000, 0.2500), Ag at (0.1271, 0.1497, 0.5000) and Ag at (0.2472, 0.0000, 0.2500).

For the formation energy, the calculation gives -176 meV/atom.

---

# 11
A plane-wave DFT calculation with GGA-PBE was carried out for a relaxed SrSiF3 crystal.

The structure belongs to space group Pm-3m (No. 221); the cell edges are 4.4447, 4.4447 and 4.4447 Å and the angles 90.00°, 90.00° and 90.00°. Symmetry generates all atoms from Sr at (0.0000, 0.0000, 0.0000), Si at (0.5000, 0.5000, 0.5000) and F at (0.0000, 0.5000, 0.5000).

The final energy is -4.524 eV/atom.

---

# 12
A plane-wave DFT calculation with GGA-PBE was carried out for a relaxed NbTeI2O crystal.

The structure belongs to space group P4/mmm (No. 123); the cell edges are 5.7646, 5.7646 and 3.9317 Å and the angles 90.00°, 90.00° and 90.00°. Symmetry generates all atoms from Nb at (0.0000, 0.0000, 0.0000), Te at (0.5000, 0.5000, 0.5000), I at (0.0000, 0.5000, 0.0000) and O at (0.0000, 0.0000, 0.5000).

The final energy is -4.671 eV/atom.

---

# 13
A plane-wave DFT calculation with GGA-PBE was carried out for a relaxed K2CaHoF6 crystal.

The structure belongs to space group P-1 (No. 2); the cell edges are 6.3925, 6.3993 and 6.4023 Å and the angles 60.61°, 60.39° and 60.24°. Symmetry generates all atoms from K at (0.2479, 0.2341, 0.2249), Ca at (0.0000, 0.0000, 0.0000), Ho at (0.5000, 0.5000, 0.5000), F at (0.2208, 0.7315, 0.7562), F at (0.2611, 0.7764, 0.2504) and F at (0.2704, 0.2408, 0.7704).

The final energy is -5.302 eV/atom.

---

# 14
A plane-wave DFT calculation with GGA-PBE was carried out for a relaxed Zr3CdCu4 crystal.

The structure belongs to space group P4/mmm (No. 123); the cell edges are 4.6402, 4.6402 and 6.4089 Å and the angles 90.00°, 90.00° and 90.00°. Symmetry generates all atoms from Zr at (0.0000, 0.0000, 0.0000), Zr at (0.0000, 0.0000, 0.5000), Zr at (0.5000, 0.5000, 0.0000), Cd at (0.5000, 0.5000, 0.5000) and Cu at (0.0000, 0.5000, 0.2511).

For the formation energy, the calculation gives -80 meV/atom.

---

# 15
A plane-wave DFT calculation with GGA-PBE was carried out for a relaxed Y2HoRh3 crystal.

The structure belongs to space group P4/mmm (No. 123); the cell edges are 3.4299, 3.4299 and 10.2770 Å and the angles 90.00°, 90.00° and 90.00°. Symmetry generates all atoms from Y at (0.0000, 0.0000, 0.1673), Ho at (0.0000, 0.0000, 0.5000), Rh at (0.5000, 0.5000, 0.0000) and Rh at (0.5000, 0.5000, 0.3366).

For the formation energy, the calculation gives -862 meV/atom.

---

# 16
A plane-wave DFT calculation with GGA-PBE was carried out for a relaxed PmDyY2Sc2 crystal.

The structure belongs to space group Pnnm (No. 58); the cell edges are 6.2922, 17.4484 and 3.3559 Å and the angles 90.00°, 90.00° and 90.00°. Symmetry generates all atoms from Pm at (0.0000, 0.0000, 0.0000), Dy at (0.0000, 0.5000, 0.0000), Y at (0.2211, 0.1917, 0.0000) and Sc at (0.2184, 0.3550, 0.5000).

For the formation energy, the calculation gives 268 meV/atom.

---

# 17
A plane-wave DFT calculation with GGA-PBE was carried out for a relaxed Ac2Cu2O5 crystal.

The structure belongs to space group C2/m (No. 12); the cell edges are 13.3912, 4.2039 and 5.2078 Å and the angles 90.00°, 107.24° and 90.00°. Symmetry generates all atoms from Ac at (0.1199, 0.0000, 0.3118), Cu at (0.0911, 0.5000, 0.7811), O at (0.0000, 0.5000, 0.0000), O at (0.0857, 0.0000, 0.7813) and O at (0.1816, 0.5000, 0.5694).

The final energy is -6.691 eV/atom.

---

# 18
A plane-wave DFT calculation with GGA-PBE was carried out for a relaxed YTl2PbSe crystal.

The structure belongs to space group P4/mmm (No. 123); the cell edges are 5.8679, 5.8679 and 6.0240 Å and the angles 90.00°, 90.00° and 90.00°. Symmetry generates all atoms from Y at (0.0000, 0.0000, 0.0000), Tl at (0.0000, 0.5000, 0.5000), Pb at (0.5000, 0.5000, 0.0000) and Se at (0.5000, 0.5000, 0.5000).

The final energy is -3.346 eV/atom.

---

# 19
A plane-wave DFT calculation with GGA-PBE was carried out for a relaxed ErHf2Pd6 crystal.

The structure belongs to space group C2/m (No. 12); the cell edges are 14.3424, 7.6133 and 3.1742 Å and the angles 90.00°, 102.54° and 90.00°. Symmetry generates all atoms from Er at (0.0000, 0.0000, 0.0000), Hf at (0.1674, 0.5000, 0.6674), Pd at (0.0000, 0.3107, 0.5000) and Pd at (0.1684, 0.2057, 0.1687).

For the formation energy, the calculation gives -542 meV/atom.

---

# 20
A plane-wave DFT calculation with GGA-PBE was carried out for a relaxed Ac2InP3Rh4 crystal.

The structure belongs to space group P-4m2 (No. 115); the cell edges are 4.1949, 4.1949 and 10.8267 Å and the angles 90.00°, 90.00° and 90.00°. Symmetry generates all atoms from Ac at (0.0000, 0.5000, 0.2430), In at (0.0000, 0.0000, 0.5000), P at (0.0000, 0.5000, 0.8779), P at (0.5000, 0.5000, 0.5000), Rh at (0.0000, 0.0000, 0.0000), Rh at (0.0000, 0.5000, 0.6592) and Rh at (0.5000, 0.5000, 0.0000).

For the formation energy, the calculation gives -875 meV/atom.

---

# 21
A plane-wave DFT calculation with GGA-PBE was carried out for a relaxed Pm6Er2Th crystal.

The structure belongs to space group P-6m2 (No. 187); the cell edges are 3.6106, 3.6106 and 26.9291 Å and the angles 90.00°, 90.00° and 120.00°. Symmetry generates all atoms from Pm at (0.0000, 0.0000, 0.0665), Pm at (0.0000, 0.0000, 0.2780), Pm at (0.3333, 0.6667, 0.3906), Er at (0.3333, 0.6667, 0.1705) and Th at (0.0000, 0.0000, 0.5000).

For the formation energy, the calculation gives 58 meV/atom.

---

# 22
A plane-wave DFT calculation with GGA-PBE was carried out for a relaxed BaSiBr2 crystal.

The structure belongs to space group Immm (No. 71); the cell edges are 4.3061, 5.7892 and 9.6359 Å and the angles 90.00°, 90.00° and 90.00°. Symmetry generates all atoms from Ba at (0.0000, 0.0000, 0.0000), Si at (0.0000, 0.0000, 0.5000) and Br at (0.0000, 0.5000, 0.1935).

The final energy is -3.525 eV/atom.

---

# 23
A plane-wave DFT calculation with GGA-PBE was carried out for a relaxed Rb4PmU3S8 crystal.

The structure belongs to space group R-3m (No. 166, hexagonal axes); the cell edges are 8.2115, 8.2115 and 23.2207 Å and the angles 90.00°, 90.00° and 120.00°. Symmetry generates all atoms from Rb at (0.0000, 0.0000, 0.0000), Rb at (0.0000, 0.5000, 0.0000), Pm at (0.0000, 0.0000, 0.5000), U at (0.0000, 0.5000, 0.5000), S at (0.0000, 0.0000, 0.2306) and S at (0.0060, 0.5030, 0.7682).

The final energy is -6.182 eV/atom.

---

# 24
A plane-wave DFT calculation with GGA-PBE was carried out for a relaxed CuReS2 crystal.

The structure belongs to space group I-42d (No. 122); the cell edges are 5.2118, 5.2118 and 10.7979 Å and the angles 90.00°, 90.00° and 90.00°. Symmetry generates all atoms from Cu at (0.0000, 0.0000, 0.0000), Re at (0.0000, 0.0000, 0.5000) and S at (0.2438, 0.2500, 0.6250).

The final energy is -6.193 eV/atom.